Here is a relaxed SrLi2Mg2Hg2 crystal from Alexandria via LeMat-Bulk. Energies are from GGA-PBE.

Output
Volume, A^3/atom: 24.3
Formation enthalpy at 0 K, eV per formula unit: -2.07
Space group: No. 166
Theoretical density, Mg/m³: 5.4

Cell: 4.9237 4.9237 8.5903 Å, 73.35 73.35 60.00°
Last column: nearest neighbours and their distance in Å.
Sites, in units of the cell vectors:
Sr: 0.0000 0.0000 0.0000  6 Hg 3.45, 2 Li 3.46, 6 Mg 3.74
Li: 0.1423 0.1423 0.5732  1 Hg 2.70
Li: 0.8577 0.8577 0.4268  1 Hg 2.70
Mg: 0.5664 0.5664 0.3007  3 Hg 2.88, 3 Li 3.02
Mg: 0.4336 0.4336 0.6993  3 Hg 2.88, 3 Li 3.02
Hg: 0.7469 0.7469 0.7594  1 Li 2.70, 3 Mg 2.88
Hg: 0.2531 0.2531 0.2406  1 Li 2.70, 3 Mg 2.88